# Tb2Ho2Tm2In | Alexandria via LeMat-Bulk | PBE-GGA | relaxed
# ΔE_f: -0.023 eV/atom
data_Tb2Ho2Tm2In
_symmetry_space_group_name_H-M 'P 1'
_symmetry_Int_Tables_number 1
_cell_length_a 3.5101
_cell_length_b 6.0764
_cell_length_c 11.3974
_cell_angle_alpha 111.97
_cell_angle_beta 90.00
_cell_angle_gamma 106.79
loop_
_symmetry_equiv_pos_as_xyz
'x,y,z'
loop_
_atom_site_label
_atom_site_fract_x
_atom_site_fract_y
_atom_site_fract_z
Tb1 0.5317 0.0634 0.7538
Tb2 0.4683 0.9366 0.2462
Ho1 0.6754 0.3508 0.0854
Ho2 0.3246 0.6492 0.9146
Tm1 0.7508 0.5015 0.6319
Tm2 0.2492 0.4985 0.3681
In1 0.0000 0.0000 0.5000

=====

The following is a PBE-GGA calculation of AcAl2AsO8 after structural relaxation, from Alexandria via LeMat-Bulk.

Cell and atoms, written as CIF:
```
data_AcAl2AsO8
_symmetry_space_group_name_H-M 'P 1'
_symmetry_Int_Tables_number 1
_cell_length_a 5.1450
_cell_length_b 5.1450
_cell_length_c 6.8698
_cell_angle_alpha 90.00
_cell_angle_beta 90.00
_cell_angle_gamma 120.00
loop_
_symmetry_equiv_pos_as_xyz
'x,y,z'
loop_
_atom_site_label
_atom_site_fract_x
_atom_site_fract_y
_atom_site_fract_z
Ac1 0.0000 0.0000 0.0000
Al1 0.6667 0.3333 0.2947
Al2 0.3333 0.6667 0.7053
As1 0.0000 0.0000 0.5000
O1 0.3333 0.6667 0.9690
O2 0.3002 0.2603 0.3370
O3 0.7397 0.0399 0.3370
O4 0.6667 0.3333 0.0310
O5 0.2603 0.9601 0.6630
O6 0.6998 0.7397 0.6630
O7 0.0399 0.3002 0.6630
O8 0.9601 0.6998 0.3370
```

=====

Number 1: VASP energy -4.322 eV/atom, V 30.6 A^3/atom. Number 2: VASP energy -6.727 eV/atom, V 13.1 A^3/atom.